First-principles (PBE) data for a relaxed HfSc2Tc crystal, as listed in the Open Quantum Materials Database.

The value obtained for the volume is 19.4 Å³/atom. As for the total DFT energy (no corrections): -8.319 eV per atom. As for the calculated formation energy: -76 meV/atom.

The space group is F-43m (No. 216) and the conventional cell measures 6.771, 6.771 and 6.771 Å, with angles of 90.00, 90.00 and 90.00 degrees. The distinct sites, in fractional coordinates, are Hf at (0.000, 0.000, 0.000), Sc at (0.000, 0.000, 0.500), Sc at (0.250, 0.250, 0.250) and Tc at (0.250, 0.250, 0.750).